1.
# RbHfSeS2 (PBE, optimized geometry)
data_RbHfSeS2
_cell_length_a 5.035
_cell_length_b 5.035
_cell_length_c 5.280
_cell_angle_alpha 90.00
_cell_angle_beta 90.00
_cell_angle_gamma 90.00
_space_group_name_H-M_alt 'P 4/m m m'
_space_group_IT_number 123
_space_group_name_Hall '-P 4 2'
loop_
_atom_site_label
_atom_site_fract_x
_atom_site_fract_y
_atom_site_fract_z
Rb1 0.000 0.000 0.000
Hf1 0.500 0.500 0.500
Se1 0.500 0.500 0.000
S1 0.000 0.500 0.500
# spin magnetization = 0.00 μB per atom
# uncorrected formation energy = -1173 meV per atom
# volume = 26.775 Å³/atom
# total energy = -28.5 eV for the cell shown

2.
# RbHf2SiS (PBE, optimized geometry)
data_RbHf2SiS
_cell_length_a 4.886
_cell_length_b 4.886
_cell_length_c 5.262
_cell_angle_alpha 90.00
_cell_angle_beta 90.00
_cell_angle_gamma 90.00
_space_group_name_H-M_alt 'P 4/m m m'
_space_group_IT_number 123
_space_group_name_Hall '-P 4 2'
loop_
_atom_site_label
_atom_site_fract_x
_atom_site_fract_y
_atom_site_fract_z
Rb1 0.000 0.000 0.000
Hf1 0.000 0.500 0.500
Si1 0.500 0.500 0.000
S1 0.500 0.500 0.500
# spin magnetization = 0.00 μB per atom
# uncorrected formation energy = 483 meV per atom
# volume = 25.121 Å³/atom
# total energy = -28.0 eV for the cell shown

3.
# Rb3Sm2HfS6 (PBE, optimized geometry)
data_Rb3Sm2HfS6
_cell_length_a 6.973
_cell_length_b 12.078
_cell_length_c 8.054
_cell_angle_alpha 90.00
_cell_angle_beta 106.84
_cell_angle_gamma 90.00
_space_group_name_H-M_alt 'C 1 2/m 1'
_space_group_IT_number 12
_space_group_name_Hall '-C 2y'
loop_
_atom_site_label
_atom_site_fract_x
_atom_site_fract_y
_atom_site_fract_z
Rb1 0.000 0.000 0.000
Rb2 0.000 0.329 0.000
Sm1 0.000 0.166 0.500
Hf1 0.000 0.500 0.500
S1 0.219 0.345 0.692
S2 0.245 0.500 0.306
# spin magnetization = 0.00 μB per atom
# uncorrected formation energy = -1676 meV per atom
# volume = 27.051 Å³/atom
# total energy = -134.3 eV for the cell shown

4.
# Rb2HfSnS5 (PBE, optimized geometry)
data_Rb2HfSnS5
_cell_length_a 3.868
_cell_length_b 19.426
_cell_length_c 14.457
_cell_angle_alpha 90.00
_cell_angle_beta 90.00
_cell_angle_gamma 90.00
_space_group_name_H-M_alt 'C m c 21'
_space_group_IT_number 36
_space_group_name_Hall 'C 2c -2'
loop_
_atom_site_label
_atom_site_fract_x
_atom_site_fract_y
_atom_site_fract_z
Rb1 0.000 0.118 0.000
Rb2 0.000 0.137 0.644
Hf1 0.000 0.217 0.358
Sn1 0.000 0.436 0.755
S1 0.000 0.059 0.364
S2 0.000 0.295 0.969
S3 0.000 0.311 0.731
S4 0.000 0.333 0.327
S5 0.000 0.497 0.618
# spin magnetization = 0.00 μB per atom
# uncorrected formation energy = -1101 meV per atom
# volume = 30.175 Å³/atom
# total energy = -185.8 eV for the cell shown

5.
# RbHfTa2S8 (PBE, optimized geometry)
data_RbHfTa2S8
_cell_length_a 6.4493
_cell_length_b 6.4493
_cell_length_c 28.7362
_cell_angle_alpha 90.00
_cell_angle_beta 90.00
_cell_angle_gamma 120.00
_space_group_name_H-M_alt 'R -3'
_space_group_IT_number 148
_space_group_name_Hall '-R 3'
loop_
_atom_site_label
_atom_site_fract_x
_atom_site_fract_y
_atom_site_fract_z
Rb1 0.0000 0.0000 0.0000
Hf1 0.0000 0.0000 0.5000
Ta1 0.0000 0.0000 0.2406
S1 0.0000 0.0000 0.3183
S2 0.0045 0.3214 0.5523
# spin magnetization = 0.06 μB per atom
# uncorrected formation energy = -915 meV per atom
# volume = 28.753 Å³/atom
# total energy = -235.9 eV for the cell shown

6.
# Rb2Tb2HfS6 (PBE, optimized geometry)
data_Rb2Tb2HfS6
_cell_length_a 6.853
_cell_length_b 11.768
_cell_length_c 8.210
_cell_angle_alpha 90.00
_cell_angle_beta 106.58
_cell_angle_gamma 90.00
_space_group_name_H-M_alt 'C 1 2/m 1'
_space_group_IT_number 12
_space_group_name_Hall '-C 2y'
loop_
_atom_site_label
_atom_site_fract_x
_atom_site_fract_y
_atom_site_fract_z
Rb1 0.000 0.170 0.000
Tb1 0.000 0.333 0.500
Hf1 0.000 0.000 0.500
S1 0.220 0.157 0.685
S2 0.248 0.000 0.316
# spin magnetization = 0.00 μB per atom
# uncorrected formation energy = -1805 meV per atom
# volume = 28.842 Å³/atom
# total energy = -131.5 eV for the cell shown

7.
# Rb2HfTeS4 (PBE, optimized geometry)
data_Rb2HfTeS4
_cell_length_a 7.963
_cell_length_b 7.963
_cell_length_c 8.101
_cell_angle_alpha 90.00
_cell_angle_beta 90.00
_cell_angle_gamma 90.00
_space_group_name_H-M_alt 'I -4'
_space_group_IT_number 82
_space_group_name_Hall 'I -4'
loop_
_atom_site_label
_atom_site_fract_x
_atom_site_fract_y
_atom_site_fract_z
Rb1 0.000 0.000 0.000
Rb2 0.000 0.500 0.250
Hf1 0.000 0.000 0.500
Te1 0.000 0.500 0.750
S1 0.145 0.199 0.673
# spin magnetization = 0.00 μB per atom
# uncorrected formation energy = -983 meV per atom
# volume = 32.103 Å³/atom
# total energy = -78.8 eV for the cell shown

8.
# RbHfTe2S (PBE, optimized geometry)
data_RbHfTe2S
_cell_length_a 5.716
_cell_length_b 5.716
_cell_length_c 4.995
_cell_angle_alpha 90.00
_cell_angle_beta 90.00
_cell_angle_gamma 90.00
_space_group_name_H-M_alt 'P 4/m m m'
_space_group_IT_number 123
_space_group_name_Hall '-P 4 2'
loop_
_atom_site_label
_atom_site_fract_x
_atom_site_fract_y
_atom_site_fract_z
Rb1 0.000 0.000 0.000
Hf1 0.500 0.500 0.500
Te1 0.000 0.500 0.500
S1 0.500 0.500 0.000
# spin magnetization = 0.00 μB per atom
# uncorrected formation energy = -872 meV per atom
# volume = 32.645 Å³/atom
# total energy = -25.7 eV for the cell shown

9.
# Rb2HfTe2S6 (PBE, optimized geometry)
data_Rb2HfTe2S6
_cell_length_a 15.641
_cell_length_b 7.057
_cell_length_c 7.447
_cell_angle_alpha 90.00
_cell_angle_beta 115.40
_cell_angle_gamma 90.00
_space_group_name_H-M_alt 'C 1 2/m 1'
_space_group_IT_number 12
_space_group_name_Hall '-C 2y'
loop_
_atom_site_label
_atom_site_fract_x
_atom_site_fract_y
_atom_site_fract_z
Rb1 0.236 0.000 0.241
Hf1 0.000 0.000 0.500
Te1 0.019 0.500 0.820
S1 0.084 0.254 0.379
S2 0.162 0.000 0.753
# spin magnetization = 0.00 μB per atom
# uncorrected formation energy = -694 meV per atom
# volume = 33.754 Å³/atom
# total energy = -101.1 eV for the cell shown

10.
# Rb2HfTiS5 (PBE, optimized geometry)
data_Rb2HfTiS5
_cell_length_a 3.887
_cell_length_b 19.307
_cell_length_c 14.099
_cell_angle_alpha 90.00
_cell_angle_beta 90.00
_cell_angle_gamma 90.00
_space_group_name_H-M_alt 'C m c 21'
_space_group_IT_number 36
_space_group_name_Hall 'C 2c -2'
loop_
_atom_site_label
_atom_site_fract_x
_atom_site_fract_y
_atom_site_fract_z
Rb1 0.000 0.126 0.000
Rb2 0.000 0.129 0.642
Hf1 0.000 0.210 0.351
Ti1 0.000 0.427 0.755
S1 0.000 0.060 0.346
S2 0.000 0.301 0.963
S3 0.000 0.312 0.717
S4 0.000 0.328 0.322
S5 0.000 0.486 0.625
# spin magnetization = 0.00 μB per atom
# uncorrected formation energy = -1387 meV per atom
# volume = 29.394 Å³/atom
# total energy = -211.6 eV for the cell shown

11.
# RbHfTlS3 (PBE, optimized geometry)
data_RbHfTlS3
_cell_length_a 7.550
_cell_length_b 15.171
_cell_length_c 6.804
_cell_angle_alpha 90.00
_cell_angle_beta 101.80
_cell_angle_gamma 90.00
_space_group_name_H-M_alt 'C 1 2/c 1'
_space_group_IT_number 15
_space_group_name_Hall '-C 2yc'
loop_
_atom_site_label
_atom_site_fract_x
_atom_site_fract_y
_atom_site_fract_z
Rb1 0.000 0.242 0.250
Hf1 0.000 0.049 0.750
Tl1 0.000 0.412 0.750
S1 0.000 0.205 0.750
S2 0.215 0.036 0.503
# spin magnetization = 0.00 μB per atom
# uncorrected formation energy = -1218 meV per atom
# volume = 31.790 Å³/atom
# total energy = -131.9 eV for the cell shown

12.
# Rb3Tm3HfS8 (PBE, optimized geometry)
data_Rb3Tm3HfS8
_cell_length_a 7.8528
_cell_length_b 7.8528
_cell_length_c 23.4912
_cell_angle_alpha 90.00
_cell_angle_beta 90.00
_cell_angle_gamma 120.00
_space_group_name_H-M_alt 'R -3 m'
_space_group_IT_number 166
_space_group_name_Hall '-R 3 2"'
loop_
_atom_site_label
_atom_site_fract_x
_atom_site_fract_y
_atom_site_fract_z
Rb1 0.0000 0.5000 0.0000
Tm1 0.0000 0.5000 0.5000
Hf1 0.0000 0.0000 0.5000
S1 0.0000 0.0000 0.2295
S2 0.0154 0.5077 0.2275
# spin magnetization = 0.00 μB per atom
# uncorrected formation energy = -1822 meV per atom
# volume = 27.879 Å³/atom
# total energy = -259.8 eV for the cell shown